Material: BeCdAg2
Method: DFT, GGA-PBEsol
State: relaxed

**E_form**: 0.65 eV/f.u.
**Excess energy over the best structure of this formula in the dataset**: 74.9 meV per atom

a = 4.449 Å, b = 4.449 Å, c = 4.449 Å
α = 60.00°, β = 60.00°, γ = 60.00°
Atoms (fractional coordinates):
Be (0.000, 0.000, 0.000)
Cd (0.500, 0.500, 0.500)
Ag (0.250, 0.250, 0.250)
Ag (0.750, 0.750, 0.750)


Material: BeCdAg2
Method: DFT, GGA-PBEsol
State: relaxed

**E_form**: 0.51 eV/f.u.
**Excess energy over the best structure of this formula in the dataset**: 39.0 meV per atom

a = 2.854 Å, b = 3.897 Å, c = 5.693 Å
α = 90.00°, β = 101.93°, γ = 90.00°
Atoms (fractional coordinates):
Be (0.000, 0.000, 0.000)
Cd (0.000, 0.000, 0.500)
Ag (0.385, 0.500, 0.220)
Ag (0.615, 0.500, 0.780)


Material: BeCdAg2
Method: DFT, GGA-PBEsol
State: relaxed

**E_form**: 0.68 eV/f.u.
**Excess energy over the best structure of this formula in the dataset**: 81.6 meV per atom

a = 4.423 Å, b = 4.423 Å, c = 3.192 Å
α = 90.00°, β = 90.00°, γ = 90.00°
Atoms (fractional coordinates):
Be (0.000, 0.000, 0.000)
Cd (0.500, 0.500, 0.000)
Ag (0.000, 0.500, 0.500)
Ag (0.500, 0.000, 0.500)


Material: BeAgCl3
Method: DFT, GGA-PBEsol
State: relaxed

**Energy relative to the elements, uncorrected**: 286 meV/atom

a = 4.905 Å, b = 4.905 Å, c = 4.905 Å
α = 90.00°, β = 90.00°, γ = 90.00°
Atoms (fractional coordinates):
Be (0.000, 0.000, 0.000)
Ag (0.500, 0.500, 0.500)
Cl (0.000, 0.500, 0.500)
Cl (0.500, 0.000, 0.500)
Cl (0.500, 0.500, 0.000)


Material: BeAgSCl2
Method: DFT, GGA-PBEsol
State: relaxed

**Energy relative to the elements, uncorrected**: -162 meV/atom

a = 4.436 Å, b = 4.436 Å, c = 4.427 Å
α = 90.00°, β = 90.00°, γ = 90.00°
Atoms (fractional coordinates):
Be (0.000, 0.000, 0.000)
Ag (0.500, 0.500, 0.500)
S (0.000, 0.000, 0.500)
Cl (0.000, 0.500, 0.000)
Cl (0.500, 0.000, 0.000)


Material: BeTl2AgCl
Method: DFT, GGA-PBEsol
State: relaxed

**Excess energy over the best structure of this formula in the dataset**: 0.0 meV per atom
**Energy relative to the elements, uncorrected**: 65 meV/atom

a = 5.050 Å, b = 5.050 Å, c = 4.486 Å
α = 90.00°, β = 90.00°, γ = 90.00°
Atoms (fractional coordinates):
Be (0.000, 0.000, 0.000)
Tl (0.000, 0.500, 0.000)
Tl (0.500, 0.000, 0.000)
Ag (0.000, 0.000, 0.500)
Cl (0.500, 0.500, 0.500)


Material: BeTl2AgCl
Method: DFT, GGA-PBEsol
State: relaxed

**Excess energy over the best structure of this formula in the dataset**: 108.6 meV per atom
**Energy relative to the elements, uncorrected**: 174 meV/atom

a = 5.445 Å, b = 5.445 Å, c = 4.419 Å
α = 90.00°, β = 90.00°, γ = 90.00°
Atoms (fractional coordinates):
Be (0.000, 0.000, 0.000)
Tl (0.000, 0.500, 0.500)
Tl (0.500, 0.000, 0.500)
Ag (0.000, 0.000, 0.500)
Cl (0.500, 0.500, 0.000)


Material: BeCoAg
Method: DFT, GGA-PBEsol
State: relaxed

**E_form**: 0.95 eV/f.u.
**Excess energy over the best structure of this formula in the dataset**: 197.1 meV per atom

a = 3.951 Å, b = 3.951 Å, c = 2.610 Å
α = 90.00°, β = 90.00°, γ = 120.00°
Atoms (fractional coordinates):
Be (0.000, 0.000, 0.000)
Co (0.333, 0.667, 0.867)
Ag (0.667, 0.333, 0.398)


Material: BeCo2Ag
Method: DFT, GGA-PBEsol
State: relaxed

**E_form**: 1.05 eV/f.u.

a = 3.429 Å, b = 3.429 Å, c = 3.873 Å
α = 90.00°, β = 90.00°, γ = 90.00°
Atoms (fractional coordinates):
Be (0.000, 0.000, 0.000)
Co (0.000, 0.500, 0.500)
Co (0.500, 0.000, 0.500)
Ag (0.500, 0.500, 0.000)


Material: BeCoAg
Method: DFT, GGA-PBEsol
State: relaxed

**E_form**: 2.38 eV/f.u.
**Excess energy over the best structure of this formula in the dataset**: 674.3 meV per atom

a = 3.893 Å, b = 3.893 Å, c = 3.893 Å
α = 60.00°, β = 60.00°, γ = 60.00°
Atoms (fractional coordinates):
Be (0.000, 0.000, 0.000)
Co (0.750, 0.750, 0.750)
Ag (0.500, 0.500, 0.500)


Material: BeCoAg
Method: DFT, GGA-PBEsol
State: relaxed

**E_form**: 0.36 eV/f.u.
**Excess energy over the best structure of this formula in the dataset**: 0.0 meV per atom

a = 5.083 Å, b = 5.083 Å, c = 5.083 Å
α = 149.40°, β = 149.40°, γ = 43.82°
Atoms (fractional coordinates):
Be (0.000, 0.000, 0.000)
Co (0.618, 0.618, 0.000)
Ag (0.321, 0.321, 0.000)


Material: BeCo2Ag
Method: DFT, GGA-PBEsol
State: relaxed

**E_form**: 0.81 eV/f.u.

a = 8.114 Å, b = 8.114 Å, c = 8.114 Å
α = 18.34°, β = 18.34°, γ = 18.34°
Atoms (fractional coordinates):
Be (0.000, 0.000, 0.000)
Co (0.483, 0.483, 0.483)
Co (0.739, 0.739, 0.739)
Ag (0.246, 0.246, 0.246)